Entry 1:
# NaMnPt | Alexandria via LeMat-Bulk | PBE | optimized geometry
data_NaMnPt
_symmetry_space_group_name_H-M 'F -4 3 m'
_symmetry_Int_Tables_number 216
_symmetry_space_group_name_Hall 'F -4 2 3'
_cell_length_a 5.886
_cell_length_b 5.886
_cell_length_c 5.886
_cell_angle_alpha 90.00
_cell_angle_beta 90.00
_cell_angle_gamma 90.00
loop_
_atom_site_label
_atom_site_type_symbol
_atom_site_fract_x
_atom_site_fract_y
_atom_site_fract_z
_atom_site_occupancy
Na1 Na 0.000 0.000 0.000 1
Mn1 Mn 0.250 0.250 0.250 1
Pt1 Pt 0.000 0.000 0.500 1
# ΔH_f (0 K): 0.803 eV/atom
# Magnetic moment: 0.002 μB/cell
# Offset from the most stable computed form: 885 meV/atom
# E: -4.7066 eV/atom
# Crystal system: cubic



Entry 2:
# KNa2Au2 | Alexandria via LeMat-Bulk | PBE | optimized geometry
data_KNa2Au2
_symmetry_space_group_name_H-M 'P 4/m b m'
_symmetry_Int_Tables_number 127
_symmetry_space_group_name_Hall '-P 4 2ab'
_cell_length_a 8.532
_cell_length_b 8.532
_cell_length_c 3.732
_cell_angle_alpha 90.00
_cell_angle_beta 90.00
_cell_angle_gamma 90.00
loop_
_atom_site_label
_atom_site_type_symbol
_atom_site_fract_x
_atom_site_fract_y
_atom_site_fract_z
_atom_site_occupancy
K1 K 0.000 0.000 0.000 1
Na1 Na 0.157 0.343 0.500 1
Au1 Au 0.128 0.628 0.000 1
# ΔH_f (0 K): -0.237 eV/atom
# Magnetic moment: 0.000 μB/cell
# Offset from the most stable computed form: 45 meV/atom
# E: -2.2952 eV/atom
# Crystal system: tetragonal



Entry 3:
# PrGa4Os | Alexandria via LeMat-Bulk | PBE | optimized geometry
data_PrGa4Os
_symmetry_space_group_name_H-M 'P m m a'
_symmetry_Int_Tables_number 51
_symmetry_space_group_name_Hall '-P 2a 2a'
_cell_length_a 9.761
_cell_length_b 8.835
_cell_length_c 7.727
_cell_angle_alpha 90.00
_cell_angle_beta 90.00
_cell_angle_gamma 90.00
loop_
_atom_site_label
_atom_site_type_symbol
_atom_site_fract_x
_atom_site_fract_y
_atom_site_fract_z
_atom_site_occupancy
Pr1 Pr 0.250 0.000 0.182 1
Pr2 Pr 0.250 0.251 0.659 1
Ga1 Ga 0.000 0.000 0.500 1
Ga2 Ga 0.062 0.500 0.838 1
Ga3 Ga 0.075 0.264 0.320 1
Ga4 Ga 0.086 0.000 0.844 1
Ga5 Ga 0.250 0.343 0.046 1
Ga6 Ga 0.250 0.500 0.369 1
Os1 Os 0.000 0.241 0.000 1
Os2 Os 0.000 0.500 0.500 1
# ΔH_f (0 K): -0.462 eV/atom
# Magnetic moment: 0.000 μB/cell
# Offset from the most stable computed form: 0 meV/atom
# E: -5.1482 eV/atom
# Crystal system: orthorhombic



Entry 4:
# BaIr2Br | Alexandria via LeMat-Bulk | PBE | optimized geometry
data_BaIr2Br
_symmetry_space_group_name_H-M 'C 1 2/m 1'
_symmetry_Int_Tables_number 12
_symmetry_space_group_name_Hall '-C 2y'
_cell_length_a 11.926
_cell_length_b 4.234
_cell_length_c 5.566
_cell_angle_alpha 90.00
_cell_angle_beta 111.44
_cell_angle_gamma 90.00
loop_
_atom_site_label
_atom_site_type_symbol
_atom_site_fract_x
_atom_site_fract_y
_atom_site_fract_z
_atom_site_occupancy
Ba1 Ba 0.000 0.000 0.000 1
Ir1 Ir 0.214 0.500 0.912 1
Br1 Br 0.000 0.500 0.500 1
# Formation energy (no corrections): 0.015 eV per atom
# Magnetic moment: 0.000 μB/cell
# Offset from the most stable computed form: 208 meV/atom
# E: -5.3144 eV/atom
# Crystal system: monoclinic



Entry 5:
# BaP2PdS | Alexandria via LeMat-Bulk | PBE | optimized geometry
data_BaP2PdS
_symmetry_space_group_name_H-M 'P 4/m m m'
_symmetry_Int_Tables_number 123
_symmetry_space_group_name_Hall '-P 4 2'
_cell_length_a 6.009
_cell_length_b 6.009
_cell_length_c 5.724
_cell_angle_alpha 90.00
_cell_angle_beta 90.00
_cell_angle_gamma 90.00
loop_
_atom_site_label
_atom_site_type_symbol
_atom_site_fract_x
_atom_site_fract_y
_atom_site_fract_z
_atom_site_occupancy
Ba1 Ba 0.000 0.000 0.000 1
P1 P 0.000 0.500 0.000 1
Pd1 Pd 0.500 0.500 0.500 1
S1 S 0.000 0.000 0.500 1
# Formation energy (no corrections): 1.483 eV per atom
# Magnetic moment: 4.312 μB/cell
# Offset from the most stable computed form: 1773 meV/atom
# E: -2.9297 eV/atom
# Crystal system: tetragonal



Entry 6:
# ErPuIn6 | Alexandria via LeMat-Bulk | PBE | optimized geometry
data_ErPuIn6
_symmetry_space_group_name_H-M 'P 4/m m m'
_symmetry_Int_Tables_number 123
_symmetry_space_group_name_Hall '-P 4 2'
_cell_length_a 4.636
_cell_length_b 4.636
_cell_length_c 9.282
_cell_angle_alpha 90.00
_cell_angle_beta 90.00
_cell_angle_gamma 90.00
loop_
_atom_site_label
_atom_site_type_symbol
_atom_site_fract_x
_atom_site_fract_y
_atom_site_fract_z
_atom_site_occupancy
Er1 Er 0.000 0.000 0.000 1
Pu1 Pu 0.000 0.000 0.500 1
In1 In 0.000 0.500 0.249 1
In2 In 0.500 0.500 0.000 1
In3 In 0.500 0.500 0.500 1
# ΔH_f (0 K): -0.309 eV/atom
# Magnetic moment: 5.717 μB/cell
# E: -4.7251 eV/atom
# Crystal system: tetragonal